1.
First-principles (PBE) data for a relaxed structure of SrMoPb2, as listed in Alexandria.

Cell lengths 5.477, 5.477, 5.477 Å; angles 60.00, 60.00, 60.00 degrees
Site moments in Bohr magnetons follow the coordinates.
Element x y z (fractional)
Mo  0.500  0.500  0.500  3.06
Sr  0.750  0.750  0.750  0.08
Pb  0.250  0.250  0.250  -0.05
Pb  0.000  0.000  0.000  -0.08

Space group   F-43m
N(E_F)   3.2 states/eV/f.u.
E_form   0.63 eV per atom
Theoretical density   8.55 g/cm³
Excess energy over the best structure of this formula in the dataset   411 meV per atom

---

2.
First-principles (PBE) data for a relaxed structure of SrMoPb, as listed in Alexandria.

Cell lengths 5.289, 5.289, 5.289 Å; angles 60.00, 60.00, 60.00 degrees
Site moments in Bohr magnetons follow the coordinates.
Element x y z (fractional)
Sr  0.750  0.750  0.750  0.07
Mo  0.000  0.000  0.000  3.44
Pb  0.500  0.500  0.500  -0.18

Space group   F-43m
N(E_F)   1.4 states/eV/f.u.
E_form   1.29 eV per atom
Theoretical density   6.20 g/cm³
Excess energy over the best structure of this formula in the dataset   680 meV per atom

---

3.
First-principles (PBE) data for a relaxed structure of SrMoPb, as listed in Alexandria.

Cell lengths 7.567, 7.567, 7.567 Å; angles 155.08, 155.08, 35.53 degrees
Site moments in Bohr magnetons follow the coordinates.
Element x y z (fractional)
Pb  0.647  0.647  0.000  0.00
Mo  0.012  0.012  0.000  0.19
Sr  0.341  0.341  0.000  0.00

Space group   I4mm
N(E_F)   3.3 states/eV/f.u.
E_form   0.69 eV per atom
Theoretical density   8.44 g/cm³
Excess energy over the best structure of this formula in the dataset   78 meV per atom

---

4.
First-principles (PBE) data for a relaxed structure of SrMoPb2, as listed in Alexandria.

Cell lengths 9.226, 9.226, 9.226 Å; angles 23.77, 23.77, 23.77 degrees
Site moments in Bohr magnetons follow the coordinates.
Element x y z (fractional)
Sr  0.250  0.250  0.250  -0.01
Pb  0.014  0.014  0.014  -0.01
Pb  0.486  0.486  0.486  -0.01
Mo  0.750  0.750  0.750  0.60

Space group   R-3m
N(E_F)   3.2 states/eV/f.u.
E_form   0.35 eV per atom
Theoretical density   8.86 g/cm³
Excess energy over the best structure of this formula in the dataset   134 meV per atom

---

5.
First-principles (PBE) data for a relaxed structure of SrMoPb2, as listed in Alexandria.

Cell lengths 8.014, 8.014, 4.484 Å; angles 73.75, 73.75, 24.93 degrees
Site moments in Bohr magnetons follow the coordinates.
Element x y z (fractional)
Pb  0.745  0.745  0.755  -0.02
Pb  0.924  0.924  0.076  -0.01
Mo  0.269  0.269  0.232  0.43
Sr  0.562  0.562  0.437  0.00

Space group   Imm2
N(E_F)   3.7 states/eV/f.u.
E_form   0.36 eV per atom
Theoretical density   8.54 g/cm³
Excess energy over the best structure of this formula in the dataset   141 meV per atom

---

6.
First-principles (PBE) data for a relaxed structure of SrMo3Pb, as listed in Alexandria.

Cell lengths 4.913, 4.913, 4.913 Å; angles 90.00, 90.00, 90.00 degrees
Site moments in Bohr magnetons follow the coordinates.
Element x y z (fractional)
Sr  0.000  0.000  0.000  0.06
Mo  0.000  0.500  0.000  0.72
Mo  0.000  0.000  0.500  0.93
Mo  0.500  0.000  0.000  0.86
Pb  0.500  0.500  0.500  0.01

Space group   Pm-3m
N(E_F)   12.0 states/eV/f.u.
E_form   2.85 eV per atom
Theoretical density   8.16 g/cm³
Excess energy over the best structure of this formula in the dataset   758 meV per atom

---

7.
First-principles (PBE) data for a relaxed structure of SrMo3Pb, as listed in Alexandria.

Cell lengths 5.148, 5.148, 5.148 Å; angles 90.00, 90.00, 90.00 degrees
Element x y z (fractional)
Mo  0.000  0.000  0.500
Mo  0.000  0.500  0.000
Mo  0.500  0.000  0.000
Pb  0.000  0.000  0.000
Sr  0.500  0.500  0.500

Space group   Pm-3m
N(E_F)   9.2 states/eV/f.u.
E_form   2.10 eV per atom
Theoretical density   7.09 g/cm³
Excess energy over the best structure of this formula in the dataset   0 meV per atom

---

8.
First-principles (PBE) data for a relaxed structure of SrMoPb2, as listed in Alexandria.

Cell lengths 7.650, 5.688, 3.507 Å; angles 90.32, 62.17, 121.91 degrees
Site moments in Bohr magnetons follow the coordinates.
Element x y z (fractional)
Pb  0.000  0.000  0.000  -0.05
Pb  0.500  0.000  0.500  -0.05
Sr  0.000  0.500  0.500  0.01
Mo  0.500  0.500  0.000  2.33

Space group   C2/m
N(E_F)   2.7 states/eV/f.u.
E_form   0.53 eV per atom
Theoretical density   9.15 g/cm³
Excess energy over the best structure of this formula in the dataset   305 meV per atom

---

9.
First-principles (PBE) data for a relaxed structure of SrMoPb2, as listed in Alexandria.

Cell lengths 3.592, 3.587, 8.743 Å; angles 65.79, 90.00, 90.00 degrees
Element x y z (fractional)
Pb  0.000  0.050  0.950
Pb  0.000  0.450  0.550
Sr  0.500  0.250  0.250
Mo  0.500  0.750  0.750

Space group   P4/mmm
N(E_F)   2.6 states/eV/f.u.
E_form   0.22 eV per atom
Theoretical density   9.66 g/cm³
Excess energy over the best structure of this formula in the dataset   0 meV per atom

---

10.
First-principles (PBE) data for a relaxed structure of SrMoPb2, as listed in Alexandria.

Cell lengths 3.275, 3.275, 10.285 Å; angles 90.00, 90.00, 90.00 degrees
Site moments in Bohr magnetons follow the coordinates.
Element x y z (fractional)
Sr  0.000  0.000  0.530  0.00
Mo  0.500  0.500  0.766  0.38
Pb  0.000  0.000  0.959  0.00
Pb  0.500  0.500  0.245  0.02

Space group   P4mm
N(E_F)   4.9 states/eV/f.u.
E_form   0.64 eV per atom
Theoretical density   9.00 g/cm³
Excess energy over the best structure of this formula in the dataset   414 meV per atom

---

11.
First-principles (PBE) data for a relaxed structure of Sr4MoPb, as listed in Alexandria.

Cell lengths 6.974, 6.974, 6.974 Å; angles 60.00, 60.00, 60.00 degrees
Site moments in Bohr magnetons follow the coordinates.
Element x y z (fractional)
Sr  0.375  0.375  0.875  -0.04
Sr  0.875  0.375  0.375  -0.04
Sr  0.375  0.875  0.375  -0.04
Sr  0.375  0.375  0.375  -0.04
Mo  0.750  0.750  0.750  3.46
Pb  0.000  0.000  0.000  -0.03

Space group   F-43m
N(E_F)   6.0 states/eV/f.u.
E_form   0.91 eV per atom
Theoretical density   4.52 g/cm³

---

12.
First-principles (PBE) data for a relaxed structure of SrMoPb2, as listed in Alexandria.

Cell lengths 5.569, 3.621, 5.715 Å; angles 88.88, 90.00, 90.00 degrees
Site moments in Bohr magnetons follow the coordinates.
Element x y z (fractional)
Mo  0.500  0.951  0.792  1.69
Sr  0.000  0.512  0.464  0.00
Pb  0.000  0.013  0.944  -0.01
Pb  0.500  0.024  0.300  -0.05

Space group   Pm
N(E_F)   2.5 states/eV/f.u.
E_form   0.51 eV per atom
Theoretical density   8.62 g/cm³
Excess energy over the best structure of this formula in the dataset   287 meV per atom

---

13.
First-principles (PBE) data for a relaxed structure of TaMoPb2, as listed in Alexandria.

Cell lengths 5.210, 5.210, 5.054 Å; angles 83.22, 83.22, 38.75 degrees
Element x y z (fractional)
Pb  0.504  0.504  0.496
Pb  0.996  0.996  0.004
Mo  0.250  0.250  0.250
Ta  0.750  0.750  0.750

Space group   C2/m
N(E_F)   4.1 states/eV/f.u.
E_form   0.77 eV per atom
Theoretical density   13.47 g/cm³
Excess energy over the best structure of this formula in the dataset   487 meV per atom

---

14.
First-principles (PBE) data for a relaxed structure of TaMoPb2, as listed in Alexandria.

Cell lengths 3.426, 3.426, 6.986 Å; angles 90.00, 90.00, 90.00 degrees
Element x y z (fractional)
Pb  0.000  0.000  0.511
Pb  0.000  0.000  0.989
Mo  0.500  0.500  0.750
Ta  0.500  0.500  0.250

Space group   P4/mmm
N(E_F)   2.8 states/eV/f.u.
E_form   0.80 eV per atom
Theoretical density   14.00 g/cm³
Excess energy over the best structure of this formula in the dataset   514 meV per atom

---

15.
First-principles (PBE) data for a relaxed structure of TaMoPb4, as listed in Alexandria.

Cell lengths 6.199, 6.199, 6.199 Å; angles 60.00, 60.00, 60.00 degrees
Site moments in Bohr magnetons follow the coordinates.
Element x y z (fractional)
Ta  0.750  0.750  0.750  -1.45
Mo  0.000  0.000  0.000  3.03
Pb  0.875  0.375  0.375  -0.01
Pb  0.375  0.375  0.375  -0.01
Pb  0.375  0.375  0.875  -0.01
Pb  0.375  0.875  0.375  -0.01

Space group   F-43m
N(E_F)   6.1 states/eV/f.u.
E_form   1.39 eV per atom
Theoretical density   10.90 g/cm³

---

16.
First-principles (PBE) data for a relaxed structure of TaMoPb2, as listed in Alexandria.

Cell lengths 6.724, 6.724, 6.724 Å; angles 152.42, 137.65, 51.29 degrees
Element x y z (fractional)
Pb  0.752  0.252  0.500
Pb  0.031  0.031  0.000
Ta  0.440  0.440  0.000
Mo  0.276  0.776  0.500

Space group   Imm2
N(E_F)   3.1 states/eV/f.u.
E_form   0.61 eV per atom
Theoretical density   12.16 g/cm³
Excess energy over the best structure of this formula in the dataset   329 meV per atom

---

17.
First-principles (PBE) data for a relaxed structure of TaMo3Pb, as listed in Alexandria.

Cell lengths 4.900, 4.900, 4.900 Å; angles 90.00, 90.00, 90.00 degrees
Element x y z (fractional)
Mo  0.000  0.000  0.500
Mo  0.000  0.500  0.000
Mo  0.500  0.000  0.000
Ta  0.500  0.500  0.500
Pb  0.000  0.000  0.000

Space group   Pm-3m
N(E_F)   8.8 states/eV/f.u.
E_form   2.66 eV per atom
Theoretical density   9.54 g/cm³
Excess energy over the best structure of this formula in the dataset   949 meV per atom

---

18.
First-principles (PBE) data for a relaxed structure of TaMoPb2, as listed in Alexandria.

Cell lengths 3.534, 5.129, 4.658 Å; angles 90.00, 90.00, 90.00 degrees
Element x y z (fractional)
Pb  0.500  0.500  0.000
Pb  0.000  0.000  0.000
Ta  0.500  0.000  0.500
Mo  0.000  0.500  0.500

Space group   Pmmm
N(E_F)   3.3 states/eV/f.u.
E_form   0.79 eV per atom
Theoretical density   13.59 g/cm³
Excess energy over the best structure of this formula in the dataset   510 meV per atom

---

19.
First-principles (PBE) data for a relaxed structure of TaMo4Pb, as listed in Alexandria.

Cell lengths 5.330, 5.330, 5.330 Å; angles 60.00, 60.00, 60.00 degrees
Element x y z (fractional)
Mo  0.375  0.375  0.375
Mo  0.375  0.375  0.875
Mo  0.875  0.375  0.375
Mo  0.375  0.875  0.375
Ta  0.000  0.000  0.000
Pb  0.750  0.750  0.750

Space group   F-43m
N(E_F)   3.4 states/eV/f.u.
E_form   0.33 eV per atom
Theoretical density   11.97 g/cm³

---

20.
First-principles (PBE) data for a relaxed structure of TaMoPb2, as listed in Alexandria.

Cell lengths 4.874, 4.874, 4.874 Å; angles 60.00, 60.00, 60.00 degrees
Element x y z (fractional)
Pb  0.250  0.250  0.250
Pb  0.750  0.750  0.750
Ta  0.500  0.500  0.500
Mo  0.000  0.000  0.000

Space group   Fm-3m
N(E_F)   3.3 states/eV/f.u.
E_form   0.81 eV per atom
Theoretical density   14.02 g/cm³
Excess energy over the best structure of this formula in the dataset   530 meV per atom